1.
4
Lattice="3.4411 0.0000 0.0000 0.0000 3.4411 0.0000 0.0000 0.0000 9.2295" Properties=species:S:1:pos:R:3 comment="PBE PmPaTl2, relaxed" dft_energy_ry_per_atom=-0.352 n_ef_per_ev_cell=6.6 magmom_total_mub_per_cell=1.12 space_group="P4/mmm, No. 123" ef_ev_per_atom=-0.051 polymorph_energy_kj_per_mol_fu=0 crystal_system=tetragonal pbc="T T T"
Pm 0.0000 0.0000 0.0000
Pa 0.0000 0.0000 4.6148
Tl 1.7206 1.7206 2.3257
Tl 1.7206 1.7206 6.9039

***

2.
16
Lattice="7.1655 0.0000 0.0000 0.0000 14.3501 0.0000 0.0000 0.0000 5.0732" Properties=species:S:1:pos:R:3 comment="PBE LaPm2Ho5, relaxed" dft_energy_ry_per_atom=-0.341 n_ef_per_ev_cell=22.2 magmom_total_mub_per_cell=0.00 space_group="Pbam, No. 55" ef_ev_per_atom=0.023 polymorph_energy_kj_per_mol_fu=0 crystal_system=orthorhombic pbc="T T T"
La 0.0000 0.0000 0.0000
La 3.5827 7.1750 0.0000
Pm 1.7587 5.3594 2.5366
Pm 1.8241 12.5344 2.5366
Pm 5.3414 1.8157 2.5366
Pm 5.4068 8.9907 2.5366
Ho 0.0000 7.1750 0.0000
Ho 0.0343 10.7315 0.0000
Ho 1.7708 1.8116 2.5366
Ho 1.8120 8.9866 2.5366
Ho 3.5485 3.5564 0.0000
Ho 3.5827 0.0000 0.0000
Ho 3.6170 10.7936 0.0000
Ho 5.3535 5.3635 2.5366
Ho 5.3947 12.5385 2.5366
Ho 7.1312 3.6186 0.0000

***

3.
5
Lattice="5.4272 0.0000 0.0000 0.0000 5.4272 0.0000 0.0000 0.0000 5.0407" Properties=species:S:1:pos:R:3 comment="PBE Mo2RhPbI, relaxed" dft_energy_ry_per_atom=-0.357 n_ef_per_ev_cell=6.0 magmom_total_mub_per_cell=6.59 e_form_raw_ev_per_atom=1.9974 space_group="P4/mmm, No. 123" crystal_system=tetragonal pbc="T T T"
Mo 0.0000 2.7136 0.0000
Mo 2.7136 0.0000 0.0000
Rh 0.0000 0.0000 2.5203
Pb 0.0000 0.0000 0.0000
I 2.7136 2.7136 2.5203

***

4.
4
Lattice="4.3517 -1.4570 0.0000 4.3517 1.4570 0.0000 -1.0434 0.0000 4.1356" Properties=species:S:1:pos:R:3 comment="PBE BeAsRh2, relaxed" dft_energy_ry_per_atom=-0.452 n_ef_per_ev_cell=2.2 magmom_total_mub_per_cell=0.00 space_group="Cm, No. 8" ef_ev_per_atom=-0.374 polymorph_energy_kj_per_mol_fu=0 crystal_system=monoclinic pbc="T T T"
Be 0.0000 0.0000 0.0000
As 6.1474 0.0000 1.5500
Rh 1.3825 0.0000 3.7658
Rh 3.7687 0.0000 2.1326

***

5.
7
Lattice="4.7514 -2.9536 0.0000 4.7514 2.9536 0.0000 -4.0936 0.0000 8.0961" Properties=species:S:1:pos:R:3 comment="PBE Tb2Pr2Tm3, relaxed" dft_energy_ry_per_atom=-0.330 n_ef_per_ev_cell=14.1 magmom_total_mub_per_cell=0.00 space_group="C2/m, No. 12" ef_ev_per_atom=0.120 polymorph_energy_kj_per_mol_fu=0 crystal_system=monoclinic pbc="T T T"
Tb -0.2024 0.0000 1.6660
Tb 5.6117 0.0000 6.4300
Pr -0.5799 0.0000 5.1744
Pr 5.9891 0.0000 2.9216
Tm 3.1133 0.0000 0.5736
Tm 2.7046 0.0000 4.0480
Tm 2.2960 0.0000 7.5225

***

6.
14
Lattice="5.9361 -3.4507 0.0000 5.9361 3.4507 0.0000 -4.1105 0.0000 11.5544" Properties=species:S:1:pos:R:3 comment="PBE LaTb5Pr, relaxed" dft_energy_ry_per_atom=-0.331 n_ef_per_ev_cell=20.1 magmom_total_mub_per_cell=0.00 space_group="C2/c, No. 15" ef_ev_per_atom=0.186 polymorph_energy_kj_per_mol_fu=0 crystal_system=monoclinic pbc="T T T"
La 2.8532 3.2671 8.6658
La 4.9085 -3.2671 2.8886
Tb 0.2505 0.9411 8.6316
Tb 2.9487 1.5297 5.7893
Tb 2.7577 1.5297 11.5423
Tb 4.9085 0.6148 2.8886
Tb 2.3058 -0.9411 2.8545
Tb 5.4558 0.9411 8.6999
Tb 2.8532 -0.6148 8.6658
Tb 5.0040 -1.5297 0.0121
Tb 4.8129 -1.5297 5.7651
Tb 7.5111 -0.9411 2.9227
Pr 2.9680 1.7254 0.0000
Pr 0.9128 -1.7254 5.7772